A relaxed structure of LuScCoPb. Source: OQMD via LeMat-Bulk, functional PBE.

Properties
* E: -5.3842 eV/atom
* E above lowest polymorph: 0 meV/atom

a = 6.8491 Å, b = 6.8491 Å, c = 6.8491 Å
α = 90.00°, β = 90.00°, γ = 90.00°
Space group F-43m (No. 216)
Unique sites:
Lu1 0.0000 0.0000 0.0000 (multiplicity 4)
Sc1 0.2500 0.2500 0.2500 (multiplicity 4)
Co1 0.2500 0.2500 0.7500 (multiplicity 4)
Pb1 0.0000 0.0000 0.5000 (multiplicity 4)